Here is an optimized crystal structure of SrHgPd6 from Alexandria. Energies are from PBE.

Cell: 5.278 5.278 5.278 Å, 90.00 90.00 90.00°
Fractional positions:
1 Sr 0.000 0.000 0.000
2 Hg 0.500 0.500 0.500
3 Pd 0.000 0.255 0.500
4 Pd 0.000 0.745 0.500
5 Pd 0.255 0.500 0.000
6 Pd 0.500 0.000 0.255
7 Pd 0.500 0.000 0.745
8 Pd 0.745 0.500 0.000

Results
* E_tot: -33.63 eV for the cell shown
* magnetization: 0.00 μB per atom